A relaxed structure of TmSiPb, computed with PBE-GGA.

Lattice parameters (Å, degrees): 6.906 6.906 6.906 90.00 90.00 90.00
Fractional positions:
Tm: 0.000 0.000 0.000
Tm: 0.000 0.500 0.500
Tm: 0.500 0.000 0.500
Tm: 0.500 0.500 0.000
Si: 0.250 0.250 0.750
Si: 0.250 0.750 0.250
Si: 0.750 0.250 0.250
Si: 0.750 0.750 0.750
Pb: 0.000 0.000 0.500
Pb: 0.000 0.500 0.000
Pb: 0.500 0.000 0.000
Pb: 0.500 0.500 0.500

- Polymorph energy (0 for the lowest one): 0 meV per atom
- Calculated total energy: -4.543 eV/atom